one | First-principles (PBE) data for Tb2Nd3Er8 after structural relaxation, as listed in the Alexandria database.

Volume, Å³/atom: 31.76

CIF file:
```
data_Tb2Nd3Er8
_symmetry_space_group_name_H-M 'P 1'
_symmetry_Int_Tables_number 1
_symmetry_space_group_name_Hall 'P 1'
_cell_length_a 5.032
_cell_length_b 7.952
_cell_length_c 10.650
_cell_angle_alpha 85.73
_cell_angle_beta 103.67
_cell_angle_gamma 89.98
loop_
_atom_site_label
_atom_site_fract_x
_atom_site_fract_y
_atom_site_fract_z
Nd1 0.539 0.694 0.078
Nd2 0.000 0.000 0.000
Nd3 0.461 0.306 0.922
Er1 0.078 0.386 0.157
Er2 0.617 0.079 0.235
Er3 0.844 0.231 0.688
Er4 0.922 0.614 0.843
Er5 0.693 0.460 0.387
Er6 0.307 0.540 0.613
Er7 0.156 0.769 0.312
Er8 0.383 0.921 0.765
Tb1 0.231 0.154 0.463
Tb2 0.769 0.846 0.537
```


two | First-principles (PBE) data for Tb2Nd3Er8 after structural relaxation, as listed in the Alexandria database.

Volume, Å³/atom: 33.28

CIF file:
```
data_Tb2Nd3Er8
_symmetry_space_group_name_H-M 'P 1'
_symmetry_Int_Tables_number 1
_symmetry_space_group_name_Hall 'P 1'
_cell_length_a 5.604
_cell_length_b 7.687
_cell_length_c 10.752
_cell_angle_alpha 110.94
_cell_angle_beta 90.02
_cell_angle_gamma 90.00
loop_
_atom_site_label
_atom_site_fract_x
_atom_site_fract_y
_atom_site_fract_z
Er1 0.001 0.670 0.341
Er2 0.999 0.330 0.659
Er3 0.500 0.819 0.219
Er4 0.500 0.400 0.219
Er5 0.000 0.865 0.730
Er6 0.000 0.135 0.270
Er7 0.500 0.600 0.781
Er8 0.500 0.181 0.781
Nd1 0.000 0.293 0.000
Nd2 0.000 0.707 0.000
Nd3 0.500 0.000 0.000
Tb1 0.501 0.759 0.518
Tb2 0.499 0.241 0.482
```


The structure with the least stability is two.


one | First-principles (PBE) data for Tb2Nd7Er3 after structural relaxation, as listed in the Alexandria database.

Volume, Å³/atom: 33.64

CIF file:
```
data_Tb2Nd7Er3
_symmetry_space_group_name_H-M 'P 1'
_symmetry_Int_Tables_number 1
_symmetry_space_group_name_Hall 'P 1'
_cell_length_a 3.566
_cell_length_b 6.469
_cell_length_c 18.114
_cell_angle_alpha 75.04
_cell_angle_beta 90.00
_cell_angle_gamma 90.00
loop_
_atom_site_label
_atom_site_fract_x
_atom_site_fract_y
_atom_site_fract_z
Nd1 0.500 0.053 0.172
Nd2 0.000 0.556 0.166
Nd3 0.000 0.000 0.000
Nd4 0.500 0.947 0.828
Nd5 0.500 0.237 0.506
Nd6 0.000 0.444 0.834
Nd7 0.500 0.763 0.494
Er1 0.000 0.885 0.659
Er2 0.000 0.115 0.341
Er3 0.500 0.500 0.000
Tb1 0.500 0.611 0.330
Tb2 0.500 0.389 0.670
```


two | First-principles (PBE) data for Tb2Nd7Er3 after structural relaxation, as listed in the Alexandria database.

Volume, Å³/atom: 33.74

CIF file:
```
data_Tb2Nd7Er3
_symmetry_space_group_name_H-M 'P 1'
_symmetry_Int_Tables_number 1
_symmetry_space_group_name_Hall 'P 1'
_cell_length_a 3.641
_cell_length_b 5.812
_cell_length_c 19.354
_cell_angle_alpha 98.63
_cell_angle_beta 90.00
_cell_angle_gamma 90.00
loop_
_atom_site_label
_atom_site_fract_x
_atom_site_fract_y
_atom_site_fract_z
Er1 0.500 0.315 0.631
Er2 0.500 0.685 0.369
Er3 0.500 0.500 0.000
Nd1 0.500 0.073 0.145
Nd2 0.000 0.232 0.464
Nd3 0.000 0.593 0.185
Nd4 0.500 0.927 0.855
Nd5 0.000 0.407 0.815
Nd6 0.000 0.768 0.536
Nd7 0.000 0.000 0.000
Tb1 0.000 0.149 0.298
Tb2 0.000 0.851 0.702
```


The structure with the least stability is two.


one | First-principles (PBE) data for TbNd3Er3 after structural relaxation, as listed in the Alexandria database.

Volume, Å³/atom: 34.42

CIF file:
```
data_TbNd3Er3
_symmetry_space_group_name_H-M 'P 1'
_symmetry_Int_Tables_number 1
_symmetry_space_group_name_Hall 'P 1'
_cell_length_a 6.209
_cell_length_b 6.209
_cell_length_c 14.872
_cell_angle_alpha 77.95
_cell_angle_beta 77.95
_cell_angle_gamma 60.00
loop_
_atom_site_label
_atom_site_fract_x
_atom_site_fract_y
_atom_site_fract_z
Er1 0.065 0.731 0.806
Er2 0.731 0.398 0.806
Er3 0.398 0.065 0.806
Er4 0.935 0.269 0.194
Er5 0.602 0.935 0.194
Er6 0.269 0.602 0.194
Tb1 0.333 0.333 0.000
Tb2 0.667 0.667 0.000
Nd1 0.200 0.869 0.392
Nd2 0.869 0.539 0.392
Nd3 0.800 0.131 0.608
Nd4 0.539 0.200 0.392
Nd5 0.461 0.800 0.608
Nd6 0.131 0.461 0.608
```


two | First-principles (PBE) data for TbNd3Er3 after structural relaxation, as listed in the Alexandria database.

Volume, Å³/atom: 33.02

CIF file:
```
data_TbNd3Er3
_symmetry_space_group_name_H-M 'P 1'
_symmetry_Int_Tables_number 1
_symmetry_space_group_name_Hall 'P 1'
_cell_length_a 5.754
_cell_length_b 9.633
_cell_length_c 9.632
_cell_angle_alpha 120.00
_cell_angle_beta 90.00
_cell_angle_gamma 90.00
loop_
_atom_site_label
_atom_site_fract_x
_atom_site_fract_y
_atom_site_fract_z
Nd1 0.750 0.193 0.950
Nd2 0.750 0.757 0.807
Nd3 0.750 0.050 0.244
Nd4 0.250 0.950 0.756
Nd5 0.250 0.243 0.193
Nd6 0.250 0.807 0.050
Er1 0.750 0.616 0.095
Er2 0.750 0.905 0.520
Er3 0.250 0.384 0.905
Er4 0.250 0.095 0.480
Er5 0.250 0.521 0.616
Er6 0.750 0.479 0.384
Tb1 0.750 0.333 0.667
Tb2 0.250 0.667 0.333
```


The structure with the least stability is one.